1.
BaSr2GaSb | PBE-GGA | optimized geometry

a b c (Å): 6.6674 6.1851 6.6674
angles (deg): 90.00 90.00 90.00
With the nearest neighbours (Å) after each atom.
Fractional positions:
Ba  0.0000  0.0000  0.0000  2 Sb 3.09, 4 Sr 3.33
Ga  0.5000  0.5000  0.5000  8 Sr 4.55, 4 Sb 4.71
Sr  0.5000  0.0000  0.0000  2 Ba 3.33
Sb  0.0000  0.5000  0.0000  2 Ba 3.09
Sr  0.0000  0.0000  0.5000  2 Ba 3.33

Properties
Symmetry: No. 123
V (Å³ per atom): 55.0
Final energy (eV/f.u.): -9.05
Formation energy without anion corrections (eV/atom): 0.68

2.
BaGaTcSb2 | PBE-GGA | optimized geometry

a b c (Å): 5.3442 4.9408 5.3442
angles (deg): 90.00 90.00 90.00
With the nearest neighbours (Å) after each atom.
Fractional positions:
Tc  0.0000  0.0000  0.0000  2 Ga 2.47, 4 Sb 2.67
Ga  0.0000  0.5000  0.0000  2 Tc 2.47
Sb  0.0000  0.0000  0.5000  2 Tc 2.67
Ba  0.5000  0.5000  0.5000  8 Sb 3.64, 4 Ga 3.78
Sb  0.5000  0.0000  0.0000  2 Tc 2.67

Properties
Symmetry: No. 123
V (Å³ per atom): 28.2
Final energy (eV/f.u.): -24.39
Formation energy without anion corrections (eV/atom): -0.17

3.
BaGaSb2Te | PBE-GGA | optimized geometry

a b c (Å): 6.3178 6.3178 6.4262
angles (deg): 90.00 90.00 90.00
With the nearest neighbours (Å) after each atom.
Fractional positions:
Sb  0.5000  0.0000  0.0000  2 Ba 3.16
Te  0.0000  0.0000  0.5000  2 Ba 3.21
Ga  0.5000  0.5000  0.5000  4 Te 4.47, 8 Sb 4.51
Sb  0.0000  0.5000  0.0000  2 Ba 3.16
Ba  0.0000  0.0000  0.0000  4 Sb 3.16, 2 Te 3.21

Properties
Symmetry: No. 123
V (Å³ per atom): 51.3
Polymorph energy (0 for the lowest one) (eV per atom): 0.924
Final energy (eV/f.u.): -13.03
Formation energy without anion corrections (eV/atom): 0.66

4.
BaGaSb2Te | PBE-GGA | optimized geometry

a b c (Å): 5.3985 5.3985 5.7504
angles (deg): 90.00 90.00 90.00
With the nearest neighbours (Å) after each atom.
Fractional positions:
Ga  0.0000  0.0000  0.0000  4 Sb 2.70, 2 Te 2.88
Te  0.0000  0.0000  0.5000  2 Ga 2.88
Ba  0.5000  0.5000  0.5000  4 Te 3.82, 8 Sb 3.94
Sb  0.0000  0.5000  0.0000  2 Ga 2.70
Sb  0.5000  0.0000  0.0000  2 Ga 2.70

Properties
Symmetry: No. 123
V (Å³ per atom): 33.5
Polymorph energy (0 for the lowest one) (eV per atom): 0.000
Final energy (eV/f.u.): -17.65
Formation energy without anion corrections (eV/atom): -0.26

5.
BaScGa | PBE-GGA | optimized geometry

a b c (Å): 6.5267 4.3808 6.9880
angles (deg): 71.60 90.00 90.00
With the nearest neighbours (Å) after each atom.
Fractional positions:
Ba  0.5232  0.7518  0.0035  3 Sc 3.36-3.74, 2 Ga 3.76
Sc  0.0232  0.6158  0.2783  4 Ga 2.84
Sc  0.5232  0.4990  0.5107  4 Ga 2.84
Ga  0.7734  0.0573  0.3945  4 Sc 2.84
Ba  0.0232  0.3634  0.7855  3 Sc 3.36-3.74, 2 Ga 3.76
Ga  0.2730  0.0573  0.3946  4 Sc 2.84

Properties
Symmetry: No. 11
V (Å³ per atom): 31.6
Polymorph energy (0 for the lowest one) (eV per atom): 0.176
Final energy (eV/f.u.): -11.83
Energy of formation from the pure elements (eV/atom): -0.1843

6.
BaSc2Ga | PBE-GGA | optimized geometry

a b c (Å): 11.9779 11.9779 11.9779
angles (deg): 16.45 16.45 16.45
With the nearest neighbours (Å) after each atom.
Fractional positions:
Sc  0.9207  0.9207  0.9207  1 Ga 2.81
Sc  0.0793  0.0793  0.0793  1 Ga 2.81
Ga  0.0000  0.0000  0.0000  2 Sc 2.81
Ba  0.5000  0.5000  0.5000  6 Ba 3.43, 6 Sc 3.67

Properties
Symmetry: No. 166
V (Å³ per atom): 30.0
Final energy (eV/f.u.): -15.84
Energy of formation from the pure elements (eV/atom): 0.4435

7.
BaScGa | PBE-GGA | optimized geometry

a b c (Å): 4.7955 4.8012 10.9716
angles (deg): 90.01 102.58 59.95
With the nearest neighbours (Å) after each atom.
Fractional positions:
Sc  0.1597  0.3309  0.4412  6 Ga 2.97-3.07, 3 Sc 3.20-3.21
Ba  0.9123  0.4547  0.0663  4 Sc 3.64-3.98, 3 Ga 3.83-3.84
Ga  0.5584  0.6317  0.5413  4 Sc 2.68-2.97
Sc  0.3924  0.7146  0.2888  4 Ga 2.68-2.79
Ga  0.7435  0.0390  0.3161  6 Sc 2.78-3.07
Ba  0.0058  0.9080  0.7135  3 Ga 3.32

Properties
Symmetry: No. 8
V (Å³ per atom): 35.3
Polymorph energy (0 for the lowest one) (eV per atom): 0.128
Final energy (eV/f.u.): -11.98
Energy of formation from the pure elements (eV/atom): -0.2324

8.
BaScGa | PBE-GGA | optimized geometry

a b c (Å): 6.1905 6.3395 6.6940
angles (deg): 90.00 57.28 59.21
With the nearest neighbours (Å) after each atom.
Fractional positions:
Ba  0.2454  0.9784  0.1068  6 Ga 3.42-3.83, 4 Sc 3.56-3.79, 2 Ba 3.66
Sc  0.0029  0.3318  0.7279  4 Ga 3.02-3.17, 2 Sc 3.17
Ga  0.5229  0.3281  0.2184  4 Sc 3.02-3.17, 2 Ga 3.34-3.35
Ba  0.8008  0.7007  0.3288  6 Ga 3.42-3.83, 4 Sc 3.56-3.79, 2 Ba 3.66
Sc  0.0428  0.8118  0.7079  4 Ga 3.02-3.17, 2 Sc 3.17
Ga  0.5229  0.3280  0.7174  4 Sc 3.02-3.17, 2 Ga 3.34-3.35

Properties
Symmetry: No. 46
V (Å³ per atom): 29.2
Polymorph energy (0 for the lowest one) (eV per atom): 0.183
Final energy (eV/f.u.): -11.81
Energy of formation from the pure elements (eV/atom): -0.1773

9.
BaScGa | PBE-GGA | optimized geometry

a b c (Å): 4.9516 4.9516 7.6344
angles (deg): 90.00 90.01 90.00
With the nearest neighbours (Å) after each atom.
Fractional positions:
Sc  0.7733  0.1408  0.3945  4 Ga 2.85
Sc  0.2732  0.6407  0.3945  4 Ga 2.85
Ga  0.2733  0.1407  0.5795  4 Sc 2.85
Ba  0.2731  0.1409  0.0318  5 Ga 3.45-3.76, 4 Sc 3.71-3.72
Ba  0.7731  0.6409  0.7573  5 Ga 3.45-3.76, 4 Sc 3.71-3.72
Ga  0.7732  0.6407  0.2094  4 Sc 2.85

Properties
Symmetry: No. 129
V (Å³ per atom): 31.2
Polymorph energy (0 for the lowest one) (eV per atom): 0.000
Final energy (eV/f.u.): -12.36
Energy of formation from the pure elements (eV/atom): -0.3604

10.
BaSc2Ga | PBE-GGA | optimized geometry

a b c (Å): 5.5530 5.5530 10.4756
angles (deg): 74.63 74.63 90.00
With the nearest neighbours (Å) after each atom.
Fractional positions:
Ga  0.2500  0.7500  0.5000  4 Sc 2.80
Ba  0.0000  0.0000  0.0000  4 Ga 3.93, 8 Sc 3.94
Sc  0.3754  0.1250  0.2500  2 Sc 2.78, 2 Ga 2.80
Sc  0.8750  0.6254  0.7500  2 Sc 2.78, 2 Ga 2.80
Ba  0.7500  0.2500  0.5000  4 Ga 3.93, 8 Sc 3.94
Sc  0.3750  0.6246  0.7500  2 Sc 2.78, 2 Ga 2.80
Sc  0.3746  0.6250  0.2500  2 Sc 2.78, 2 Ga 2.80
Ga  0.5000  0.5000  0.0000  4 Sc 2.80

Properties
Symmetry: No. 141
V (Å³ per atom): 37.4
Final energy (eV/f.u.): -16.02
Energy of formation from the pure elements (eV/atom): 0.3979